# CdSbHRh2, optimized geometry, DFT PBE-GGA
# - Final energy: -4.616 eV per atom
data_CdSbHRh2
_space_group_name_H-M_alt 'P 4/m m m'
_space_group_IT_number 123
_space_group_name_Hall '-P 4 2'
_cell_length_a 4.214
_cell_length_b 4.214
_cell_length_c 4.069
_cell_angle_alpha 90.00
_cell_angle_beta 90.00
_cell_angle_gamma 90.00
loop_
_atom_site_label
_atom_site_fract_x
_atom_site_fract_y
_atom_site_fract_z
Cd1 0.000 0.000 0.000
Sb1 0.500 0.500 0.000
H1 0.000 0.000 0.500
Rh1 0.000 0.500 0.500


# Ac3Ga3Si2, optimized geometry, DFT PBE-GGA
# - Formation energy without anion corrections: -0.58 eV/atom
# - Relative energy among the computed polymorphs: 0.0 meV/atom
data_Ac3Ga3Si2
_space_group_name_H-M_alt 'C m c m'
_space_group_IT_number 63
_space_group_name_Hall '-C 2c 2'
_cell_length_a 4.261
_cell_length_b 12.011
_cell_length_c 16.612
_cell_angle_alpha 90.00
_cell_angle_beta 90.00
_cell_angle_gamma 90.00
loop_
_atom_site_label
_atom_site_fract_x
_atom_site_fract_y
_atom_site_fract_z
Ac1 0.000 0.045 0.250
Ac2 0.000 0.343 0.089
Ga1 0.000 0.063 0.058
Ga2 0.000 0.228 0.750
Si1 0.000 0.364 0.619


# HoTm4Pd2, optimized geometry, DFT PBE-GGA
# - Relative energy among the computed polymorphs: 0.0 meV/atom
data_HoTm4Pd2
_space_group_name_H-M_alt 'P 1 21/m 1'
_space_group_IT_number 11
_cell_length_a 7.770
_cell_length_b 6.278
_cell_length_c 7.995
_cell_angle_alpha 90.00
_cell_angle_beta 112.54
_cell_angle_gamma 90.00
loop_
_space_group_symop_operation_xyz
'x,y,z'
'-x,-y,-z'
'-x,y+1/2,-z'
'x,-y+1/2,z'
loop_
_atom_site_label
_atom_site_fract_x
_atom_site_fract_y
_atom_site_fract_z
Ho1 0.155 0.250 0.024
Tm1 0.021 0.250 0.393
Tm2 0.247 0.750 0.347
Tm3 0.407 0.003 0.770
Pd1 0.240 0.750 0.990
Pd2 0.382 0.250 0.420


# MgGa2Ru2, optimized geometry, DFT PBE-GGA
# - Relative energy among the computed polymorphs: 309.3 meV/atom
data_MgGa2Ru2
_space_group_name_H-M_alt 'I 4/m m m'
_space_group_IT_number 139
_space_group_name_Hall '-I 4 2'
_cell_length_a 3.776
_cell_length_b 3.776
_cell_length_c 11.792
_cell_angle_alpha 90.00
_cell_angle_beta 90.00
_cell_angle_gamma 90.00
loop_
_atom_site_label
_atom_site_fract_x
_atom_site_fract_y
_atom_site_fract_z
Mg1 0.000 0.000 0.000
Ga1 0.000 0.500 0.250
Ru1 0.000 0.000 0.394


# CuRe2AgF, optimized geometry, DFT PBE-GGA
# - Formation energy without anion corrections: 1.82 eV/atom
data_CuRe2AgF
_space_group_name_H-M_alt 'P 4/m m m'
_space_group_IT_number 123
_space_group_name_Hall '-P 4 2'
_cell_length_a 4.643
_cell_length_b 4.643
_cell_length_c 4.838
_cell_angle_alpha 90.00
_cell_angle_beta 90.00
_cell_angle_gamma 90.00
loop_
_atom_site_label
_atom_site_fract_x
_atom_site_fract_y
_atom_site_fract_z
Cu1 0.000 0.000 0.000
Re1 0.000 0.500 0.000
Ag1 0.000 0.000 0.500
F1 0.500 0.500 0.500


# Na3Sm2NpO6, optimized geometry, DFT PBE-GGA
# - Formation energy without anion corrections: -2.51 eV/atom
data_Na3Sm2NpO6
_space_group_name_H-M_alt 'C 1 2/m 1'
_space_group_IT_number 12
_cell_length_a 6.091
_cell_length_b 10.548
_cell_length_c 6.012
_cell_angle_alpha 90.00
_cell_angle_beta 109.78
_cell_angle_gamma 90.00
loop_
_space_group_symop_operation_xyz
'x,y,z'
'-x,-y,-z'
'-x,y,-z'
'x,-y,z'
'x+1/2,y+1/2,z'
'-x+1/2,-y+1/2,-z'
'-x+1/2,y+1/2,-z'
'x+1/2,-y+1/2,z'
loop_
_atom_site_label
_atom_site_fract_x
_atom_site_fract_y
_atom_site_fract_z
Na1 0.000 0.000 0.000
Na2 0.000 0.334 0.000
Sm1 0.000 0.167 0.500
Np1 0.000 0.500 0.500
O1 0.237 0.336 0.717
O2 0.244 0.000 0.716


Repeat the second record exactly.
# Ac3Ga3Si2, optimized geometry, DFT PBE-GGA
# - Formation energy without anion corrections: -0.58 eV/atom
# - Relative energy among the computed polymorphs: 0.0 meV/atom
data_Ac3Ga3Si2
_space_group_name_H-M_alt 'C m c m'
_space_group_IT_number 63
_space_group_name_Hall '-C 2c 2'
_cell_length_a 4.261
_cell_length_b 12.011
_cell_length_c 16.612
_cell_angle_alpha 90.00
_cell_angle_beta 90.00
_cell_angle_gamma 90.00
loop_
_atom_site_label
_atom_site_fract_x
_atom_site_fract_y
_atom_site_fract_z
Ac1 0.000 0.045 0.250
Ac2 0.000 0.343 0.089
Ga1 0.000 0.063 0.058
Ga2 0.000 0.228 0.750
Si1 0.000 0.364 0.619